[1]
La3InTc | PBE-GGA | optimized geometry

Computed properties:
The value obtained for the polymorph energy (0 for the lowest one) is 0.000 eV/atom. The calculation puts the uncorrected energy at -5.7432 eV per atom. The space group is Pm-3m (221). As for the density of states at the Fermi level: 4.40 states/eV per cell. The value obtained for the formation energy is -0.166 eV/atom.

a = 5.4546 Å, b = 5.4546 Å, c = 5.4546 Å
α = 90.00°, β = 90.00°, γ = 90.00°
Last column: nearest neighbours and their distance in Å.
Sites, in units of the cell vectors:
La (0.5000, 0.0000, 0.0000)  2 Tc 2.73
La (0.0000, 0.0000, 0.5000)  2 Tc 2.73
La (0.0000, 0.5000, 0.0000)  2 Tc 2.73
Tc (0.0000, 0.0000, 0.0000)  6 La 2.73
In (0.5000, 0.5000, 0.5000)  12 La 3.86

***

[2]
LaInTc4 | PBE-GGA | optimized geometry

Computed properties:
The calculation puts the uncorrected energy at -7.9934 eV per atom. The space group is F-43m (216). As for the density of states at the Fermi level: 7.29 states/eV per cell. The value obtained for the formation energy is 0.195 eV/atom.

a = 5.4151 Å, b = 5.4151 Å, c = 5.4151 Å
α = 60.00°, β = 60.00°, γ = 60.00°
Last column: nearest neighbours and their distance in Å.
Sites, in units of the cell vectors:
Tc (0.8709, 0.3764, 0.3764)  6 Tc 2.68-2.74
Tc (0.3764, 0.3764, 0.8709)  6 Tc 2.68-2.74
Tc (0.3764, 0.3764, 0.3764)  6 Tc 2.68-2.74
Tc (0.3764, 0.8709, 0.3764)  6 Tc 2.68-2.74
La (0.0000, 0.0000, 0.0000)  12 Tc 3.18, 4 In 3.32
In (0.7500, 0.7500, 0.7500)  12 Tc 3.17, 4 La 3.32

***

[3]
LaIn2Tc | PBE-GGA | optimized geometry

Computed properties:
The value obtained for the polymorph energy (0 for the lowest one) is 0.034 eV/atom. The calculation puts the uncorrected energy at -5.1879 eV per atom. The space group is Imm2 (44). As for the density of states at the Fermi level: 3.24 states/eV per cell. The value obtained for the formation energy is 0.005 eV/atom.

a = 7.2293 Å, b = 7.2293 Å, c = 7.2293 Å
α = 153.44°, β = 142.99°, γ = 46.13°
Last column: nearest neighbours and their distance in Å.
Sites, in units of the cell vectors:
La (0.4299, 0.4299, 0.0000)  2 Tc 2.92
In (0.0792, 0.0792, 0.0000)  2 Tc 2.81
In (0.7413, 0.2413, 0.5000)  4 Tc 2.83, 2 In 3.15
Tc (0.2496, 0.7496, 0.5000)  6 In 2.81-2.83, 2 La 2.92

***

[4]
LaIn2Tc | PBE-GGA | optimized geometry

Computed properties:
The value obtained for the polymorph energy (0 for the lowest one) is 0.124 eV/atom. The calculation puts the uncorrected energy at -5.0973 eV per atom. The space group is Fm-3m (225). As for the density of states at the Fermi level: 4.17 states/eV per cell. The value obtained for the formation energy is 0.095 eV/atom.

a = 5.0814 Å, b = 5.0814 Å, c = 5.0814 Å
α = 60.00°, β = 60.00°, γ = 60.00°
Last column: nearest neighbours and their distance in Å.
Sites, in units of the cell vectors:
In (0.2500, 0.2500, 0.2500)  4 La 3.11, 4 Tc 3.11
In (0.7500, 0.7500, 0.7500)  4 La 3.11, 4 Tc 3.11
La (0.5000, 0.5000, 0.5000)  8 In 3.11
Tc (0.0000, 0.0000, 0.0000)  8 In 3.11

***

[5]
LaIn2Tc | PBE-GGA | optimized geometry

Computed properties:
The value obtained for the polymorph energy (0 for the lowest one) is 0.076 eV/atom. The calculation puts the uncorrected energy at -5.1459 eV per atom. The space group is Pm (6). As for the density of states at the Fermi level: 3.59 states/eV per cell. The value obtained for the formation energy is 0.047 eV/atom.

a = 3.5823 Å, b = 3.5502 Å, c = 8.1216 Å
α = 69.24°, β = 90.00°, γ = 90.00°
Last column: nearest neighbours and their distance in Å.
Sites, in units of the cell vectors:
In (0.0000, 0.0250, 0.9569)  4 Tc 2.78-2.84, 2 In 3.11
In (0.5000, 0.2983, 0.2076)  4 In 3.11-3.21, 1 Tc 3.15
Tc (0.5000, 0.6693, 0.7936)  4 In 2.78-2.84, 2 La 2.92
La (0.0000, 0.5075, 0.5418)  2 Tc 2.92, 1 In 3.19

***

[6]
La4InTc | PBE-GGA | optimized geometry

Computed properties:
The value obtained for the polymorph energy (0 for the lowest one) is 0.000 eV/atom. The calculation puts the uncorrected energy at -5.6931 eV per atom. The space group is C2/c (15). As for the density of states at the Fermi level: 13.90 states/eV per cell. The value obtained for the formation energy is -0.224 eV/atom.

a = 6.4294 Å, b = 9.3754 Å, c = 8.1763 Å
α = 115.09°, β = 100.11°, γ = 112.32°
Last column: nearest neighbours and their distance in Å.
Sites, in units of the cell vectors:
Tc (0.7478, 0.9978, 0.9955)  8 La 2.88-3.18, 2 Tc 3.22
Tc (0.2522, 0.0022, 0.0045)  8 La 2.88-3.18, 2 Tc 3.22
In (0.3730, 0.6230, 0.2459)  8 La 3.35-3.54
In (0.6270, 0.3770, 0.7541)  8 La 3.35-3.54
La (0.3966, 0.9464, 0.6722)  2 Tc 2.88-2.93
La (0.0896, 0.2041, 0.8373)  2 Tc 3.12-3.18, 1 In 3.35
La (0.7522, 0.3668, 0.1627)  2 Tc 3.12-3.18, 1 In 3.35
La (0.7757, 0.7258, 0.6722)  2 Tc 2.88-2.93
La (0.6034, 0.0536, 0.3278)  2 Tc 2.88-2.93
La (0.9104, 0.7959, 0.1627)  2 Tc 3.12-3.18, 1 In 3.35
La (0.2243, 0.2742, 0.3278)  2 Tc 2.88-2.93
La (0.2478, 0.6332, 0.8373)  2 Tc 3.12-3.18, 1 In 3.35

***

[7]
LaInTc | PBE-GGA | optimized geometry

Computed properties:
The value obtained for the polymorph energy (0 for the lowest one) is 1.235 eV/atom. The calculation puts the uncorrected energy at -4.9703 eV per atom. The space group is F-43m (216). As for the density of states at the Fermi level: 6.71 states/eV per cell. The value obtained for the formation energy is 1.040 eV/atom.

a = 4.9786 Å, b = 4.9786 Å, c = 4.9786 Å
α = 60.00°, β = 60.00°, γ = 60.00°
Last column: nearest neighbours and their distance in Å.
Sites, in units of the cell vectors:
Tc (0.0000, 0.0000, 0.0000)  4 La 3.05
In (0.5000, 0.5000, 0.5000)  4 La 3.05
La (0.7500, 0.7500, 0.7500)  4 In 3.05, 4 Tc 3.05

***

[8]
LaIn2Tc | PBE-GGA | optimized geometry

Computed properties:
The value obtained for the polymorph energy (0 for the lowest one) is 0.000 eV/atom. The calculation puts the uncorrected energy at -5.2216 eV per atom. The space group is P4/mmm (123). As for the density of states at the Fermi level: 3.45 states/eV per cell. The value obtained for the formation energy is -0.029 eV/atom.

a = 3.4151 Å, b = 3.4171 Å, c = 7.8404 Å
α = 90.00°, β = 90.00°, γ = 90.00°
Last column: nearest neighbours and their distance in Å.
Sites, in units of the cell vectors:
In (0.0000, 0.0000, 0.5562)  4 Tc 2.85, 1 In 3.04
In (0.0000, 0.0000, 0.9438)  4 Tc 2.85, 1 In 3.04
La (0.5000, 0.5000, 0.2500)  8 In 3.41, 4 La 3.42
Tc (0.5000, 0.5000, 0.7500)  8 In 2.85

***

[9]
LaInTcW2 | PBE-GGA | optimized geometry

Computed properties:
The calculation puts the uncorrected energy at -6.1248 eV per atom. The space group is P4/mmm (123). As for the density of states at the Fermi level: 9.72 states/eV per cell. The value obtained for the formation energy is 2.663 eV/atom.

a = 4.9010 Å, b = 5.5515 Å, c = 4.9010 Å
α = 90.00°, β = 90.00°, γ = 90.00°
Last column: nearest neighbours and their distance in Å.
Sites, in units of the cell vectors:
W (0.0000, 0.0000, 0.5000)  2 In 2.45
W (0.5000, 0.0000, 0.0000)  2 In 2.45
Tc (0.5000, 0.5000, 0.5000)  4 La 3.47, 8 W 3.70
La (0.0000, 0.5000, 0.0000)  2 In 2.78
In (0.0000, 0.0000, 0.0000)  4 W 2.45

***

[10]
LaZrInTc2 | PBE-GGA | optimized geometry

Computed properties:
The calculation puts the uncorrected energy at -6.1960 eV per atom. The space group is P4/mmm (123). As for the density of states at the Fermi level: 5.70 states/eV per cell. The value obtained for the formation energy is 1.193 eV/atom.

a = 4.8671 Å, b = 5.6036 Å, c = 4.8671 Å
α = 90.00°, β = 90.00°, γ = 90.00°
Last column: nearest neighbours and their distance in Å.
Sites, in units of the cell vectors:
Zr (0.0000, 0.0000, 0.0000)  4 Tc 2.43
Tc (0.0000, 0.0000, 0.5000)  2 Zr 2.43
Tc (0.5000, 0.0000, 0.0000)  2 Zr 2.43
La (0.0000, 0.5000, 0.0000)  2 Zr 2.80
In (0.5000, 0.5000, 0.5000)  4 La 3.44, 8 Tc 3.71

***

[11]
La6InTe5 | PBE-GGA | optimized geometry

Computed properties:
As for the energy relative to the elements, uncorrected: -1.410 eV per atom. The calculation puts the uncorrected energy at -5.4106 eV per atom. The space group is C2/m (12). As for the density of states at the Fermi level: 7.68 states/eV per cell.

a = 7.9618 Å, b = 7.9788 Å, c = 7.9640 Å
α = 59.94°, β = 80.44°, γ = 70.63°
Last column: nearest neighbours and their distance in Å.
Sites, in units of the cell vectors:
La (0.7521, 0.7533, 0.0000)  1 In 3.22, 5 Te 3.25-3.29
La (0.2473, 0.5882, 0.3296)  1 In 3.22, 5 Te 3.25-3.28
La (0.7527, 0.0822, 0.3296)  1 In 3.22, 5 Te 3.25-3.28
La (0.2479, 0.2467, 0.0000)  1 In 3.22, 5 Te 3.25-3.29
La (0.7527, 0.4118, 0.6704)  1 In 3.22, 5 Te 3.25-3.28
La (0.2473, 0.9178, 0.6704)  1 In 3.22, 5 Te 3.25-3.28
Te (0.5000, 0.1682, 0.6636)  6 La 3.25-3.28
Te (0.0000, 0.6663, 0.6675)  6 La 3.25-3.26
Te (0.0000, 0.3337, 0.3325)  6 La 3.25-3.26
Te (0.5000, 0.8318, 0.3364)  6 La 3.25-3.28
Te (0.5000, 0.5000, 0.0000)  6 La 3.25-3.29
In (0.0000, 0.0000, 0.0000)  6 La 3.22

***

[12]
LaIn2Te | PBE-GGA | optimized geometry

Computed properties:
As for the energy relative to the elements, uncorrected: -0.440 eV per atom. The value obtained for the polymorph energy (0 for the lowest one) is 0.214 eV/atom. The calculation puts the uncorrected energy at -3.8268 eV per atom. The space group is R3m (160). As for the density of states at the Fermi level: 3.15 states/eV per cell.

a = 8.9926 Å, b = 8.9926 Å, c = 8.9926 Å
α = 27.43°, β = 27.43°, γ = 27.43°
Last column: nearest neighbours and their distance in Å.
Sites, in units of the cell vectors:
La (0.4959, 0.4959, 0.4959)  3 Te 3.16, 3 In 3.45
In (0.2559, 0.2559, 0.2559)  3 In 3.11, 3 La 3.45
In (0.9956, 0.9956, 0.9956)  3 In 3.11, 3 Te 3.40
Te (0.7526, 0.7526, 0.7526)  3 La 3.16, 3 In 3.40